Material: SrAsI3
Method: DFT, GGA-PBE
State: optimized geometry

Output
Raw total energy: -12.4 eV per cell
Crystal system: cubic
Formation energy (no corrections): -0.287 eV per atom
Magnetization: 2.00 Bohr magnetons per cell
Space-group type: No. 221
Excess energy over the best structure of this formula in the dataset: 200.9 meV/atom

Cell and atoms, written as POSCAR:
```
SrAsI3
1.0
-4.235 -4.627 1.352
4.285 -2.789 3.877
-2.209 3.462 4.931
I Sr As
3 1 1
Cartesian
2.142 -1.394 1.939
-1.104 1.731 2.465
-2.117 -2.314 0.676
0.000 0.000 0.000
-1.079 -1.977 5.080
```